First-principles (GGA+U) data for a geometry-optimized Nb2MoPtF structure, as listed in the Alexandria database.

Unit cell a=4.2951 b=4.2951 c=4.2594 alpha=90.00 beta=90.00 gamma=90.00
Closest atoms and distances in Å follow each position.
Fractional positions:
Nb: 0.0000 0.5000 0.0000  2 F 2.15
Nb: 0.5000 0.0000 0.0000  2 F 2.15
Mo: 0.0000 0.0000 0.5000  2 F 2.13
Pt: 0.5000 0.5000 0.5000  8 Nb 3.02, 4 Mo 3.04
F: 0.0000 0.0000 0.0000  2 Mo 2.13, 4 Nb 2.15

E: -6.892 eV per atom